Computed, not measured: a crystal of SrTiRuBr2 relaxed with PBEsol at the meta-GGA SCAN level of DFT. Values from VASP.

Output
- Formation energy without anion corrections: -1.8 eV per formula unit
- DOS(E_F): 0.5717 states/eV per atom
- Total energy: -22.770 eV per atom

Geometry as Quantum ESPRESSO input:
```
&SYSTEM
  ibrav = 0, nat = 5, ntyp = 4
/
ATOMIC_SPECIES
Ru 101.07 Ru.upf
Ti 47.87 Ti.upf
Br 79.90 Br.upf
Sr 87.62 Sr.upf
CELL_PARAMETERS angstrom
-4.281 0.923 1.339
-0.217 -4.468 2.387
1.788 2.168 4.221
ATOMIC_POSITIONS crystal
Ru 0.500 0.000 0.000
Ti 0.000 0.000 0.000
Br 0.000 0.000 0.500
Br 0.000 0.500 0.000
Sr 0.500 0.500 0.500
```

Computed, not measured: a crystal of TaRuBr2 relaxed with PBEsol at the meta-GGA SCAN level of DFT. Values from VASP.

Output
- Formation energy without anion corrections: 3.2 eV per formula unit
- DOS(E_F): 0.5175 states/eV per atom
- Total energy: -34.280 eV per atom

Geometry as Quantum ESPRESSO input:
```
&SYSTEM
  ibrav = 0, nat = 4, ntyp = 3
/
ATOMIC_SPECIES
Ru 101.07 Ru.upf
Br 79.90 Br.upf
Ta 180.95 Ta.upf
CELL_PARAMETERS angstrom
-0.479 2.338 2.378
-3.316 -2.838 2.029
5.050 -1.646 0.296
ATOMIC_POSITIONS crystal
Ru 0.000 0.000 0.000
Br 0.000 0.000 0.500
Br 0.500 0.500 0.500
Ta 0.500 0.500 0.000
```

What did the second record say?
Computed, not measured: a crystal of TaRuBr2 relaxed with PBEsol at the meta-GGA SCAN level of DFT. Values from VASP.

Output
- Formation energy without anion corrections: 3.2 eV per formula unit
- DOS(E_F): 0.5175 states/eV per atom
- Total energy: -34.280 eV per atom

Geometry as Quantum ESPRESSO input:
```
&SYSTEM
  ibrav = 0, nat = 4, ntyp = 3
/
ATOMIC_SPECIES
Ru 101.07 Ru.upf
Br 79.90 Br.upf
Ta 180.95 Ta.upf
CELL_PARAMETERS angstrom
-0.479 2.338 2.378
-3.316 -2.838 2.029
5.050 -1.646 0.296
ATOMIC_POSITIONS crystal
Ru 0.000 0.000 0.000
Br 0.000 0.000 0.500
Br 0.500 0.500 0.500
Ta 0.500 0.500 0.000
```